# 1
A geometry-optimized Ca2LaSb structure. Source: Alexandria, functional PBE.

## Properties
* formation energy from raw total energies: -1.17 eV/f.u.
* DFT total energy: -28.5 eV per cell

a b c (Å): 9.6830 9.6830 7.6083
angles (deg): 50.48 50.48 90.00
Closest atoms and distances in Å follow each position.
Fractional coordinates of all 8 atoms:
Sb 0.5000 0.5000 0.0000  4 Ca 3.12, 2 La 3.32
Sb 0.2500 0.7500 0.5000  4 Ca 3.12, 2 La 3.32
Ca 0.5585 0.1250 0.2500  2 Sb 3.12
Ca 0.1915 0.6250 0.2500  2 Sb 3.12
Ca 0.3750 0.4415 0.7500  2 Sb 3.12
Ca 0.8750 0.8085 0.7500  2 Sb 3.12
La 0.0000 0.0000 0.0000  2 Sb 3.32
La 0.7500 0.2500 0.5000  2 Sb 3.32

# 2
A geometry-optimized Ca2LaSb structure. Source: Alexandria, functional PBE.

## Properties
* formation energy from raw total energies: -1.23 eV/f.u.
* DFT total energy: -14.3 eV per cell

a b c (Å): 5.6565 5.6565 5.6565
angles (deg): 60.00 60.00 60.00
Closest atoms and distances in Å follow each position.
Fractional coordinates of all 4 atoms:
Sb 0.7500 0.7500 0.7500  4 La 3.46, 4 Ca 3.46
Ca 0.0000 0.0000 0.0000  4 Sb 3.46, 4 Ca 3.46
Ca 0.2500 0.2500 0.2500  4 La 3.46, 4 Ca 3.46
La 0.5000 0.5000 0.5000  4 Sb 3.46, 4 Ca 3.46

# 3
A geometry-optimized CaLa2Sb structure. Source: Alexandria, functional PBE.

## Properties
* formation energy from raw total energies: -1.95 eV/f.u.
* DFT total energy: -17.9 eV per cell

a b c (Å): 4.2416 4.2250 8.5207
angles (deg): 60.27 90.00 90.00
Closest atoms and distances in Å follow each position.
Fractional coordinates of all 4 atoms:
Sb 0.0000 0.5068 0.4932  5 La 3.40-3.51, 4 Ca 3.41
Ca 0.5000 0.7866 0.7135  1 La 3.25, 4 Sb 3.41
La 0.0000 0.9813 0.0187  2 Sb 3.51-3.89, 4 La 3.54, 4 Ca 3.75
La 0.5000 0.2253 0.2746  1 Ca 3.25, 4 Sb 3.40, 4 La 3.54